1.
Material: ScHS3
Method: DFT, meta-GGA SCAN
State: single point on PBEsol structure

Lattice parameters (Å, degrees): 4.0868 4.0868 4.0868 90.00 90.00 90.00
Fractional positions:
Sc  0.0000  0.0000  0.0000
H  0.5000  0.5000  0.5000
S  0.0000  0.5000  0.5000
S  0.5000  0.0000  0.5000
S  0.5000  0.5000  0.0000

Output
Final energy in eV/atom: -9.28
Symmetry: Pm-3m (221)

---

2.
Material: Sc2SnHS
Method: DFT, meta-GGA SCAN
State: single point on PBEsol structure

Lattice parameters (Å, degrees): 5.0352 5.0352 3.4490 90.00 90.00 90.00
Fractional positions:
Sc  0.0000  0.5000  0.0000
Sc  0.5000  0.0000  0.0000
Sn  0.0000  0.0000  0.5000
H  0.5000  0.5000  0.5000
S  0.5000  0.5000  0.0000

Output
Final energy in eV/atom: -16.16
Symmetry: P4/mmm (123)

---

3.
Material: HWSeS2
Method: DFT, meta-GGA SCAN
State: single point on PBEsol structure

Lattice parameters (Å, degrees): 4.7103 4.7103 3.1479 90.00 90.00 90.00
Fractional positions:
H  0.0000  0.0000  0.0000
W  0.5000  0.5000  0.0000
Se  0.0000  0.0000  0.5000
S  0.0000  0.5000  0.5000
S  0.5000  0.0000  0.5000

Output
Final energy in eV/atom: -21.46
Symmetry: P4/mmm (123)

---

4.
Material: Si2H2S3
Method: DFT, meta-GGA SCAN
State: single point on PBEsol structure

Lattice parameters (Å, degrees): 7.5834 7.5834 8.5752 90.00 90.00 90.00
Fractional positions:
Si  0.0677  0.2100  0.3643
Si  0.2100  0.9323  0.6357
Si  0.2900  0.4323  0.8643
Si  0.4323  0.7100  0.1357
Si  0.5677  0.2900  0.1357
Si  0.7100  0.5677  0.8643
Si  0.7900  0.0677  0.6357
Si  0.9323  0.7900  0.3643
H  0.1145  0.3640  0.2642
H  0.1360  0.3855  0.7642
H  0.3640  0.8855  0.7358
H  0.3855  0.8640  0.2358
H  0.6145  0.1360  0.2358
H  0.6360  0.1145  0.7358
H  0.8640  0.6145  0.7642
H  0.8855  0.6360  0.2642
S  0.0000  0.0000  0.2087
S  0.0000  0.0000  0.7913
S  0.1520  0.7019  0.5011
S  0.2019  0.6520  0.0011
S  0.2981  0.1520  0.4989
S  0.3480  0.2019  0.9989
S  0.5000  0.5000  0.2913
S  0.5000  0.5000  0.7087
S  0.6520  0.7981  0.9989
S  0.7019  0.8480  0.4989
S  0.7981  0.3480  0.0011
S  0.8480  0.2981  0.5011

Output
Final energy in eV/atom: -8.48
Symmetry: P-42_1c (114)

---

5.
Material: Si2H6S
Method: DFT, meta-GGA SCAN
State: single point on PBEsol structure

Lattice parameters (Å, degrees): 7.4069 13.6026 8.3267 90.00 90.00 90.00
Fractional positions:
Si  0.0618  0.2233  0.0048
Si  0.0618  0.7767  0.5048
Si  0.2451  0.4747  0.3940
Si  0.2451  0.5253  0.8940
Si  0.2549  0.0253  0.8940
Si  0.2549  0.9747  0.3940
Si  0.4382  0.2767  0.5048
Si  0.4382  0.7233  0.0048
Si  0.5618  0.2767  0.9952
Si  0.5618  0.7233  0.4952
Si  0.7451  0.0253  0.6060
Si  0.7451  0.9747  0.1060
Si  0.7549  0.4747  0.1060
Si  0.7549  0.5253  0.6060
Si  0.9382  0.2233  0.4952
Si  0.9382  0.7767  0.9952
H  0.0538  0.3027  0.1282
H  0.0538  0.6973  0.6282
H  0.0620  0.0034  0.3696
H  0.0620  0.9966  0.8696
H  0.1107  0.1664  0.5106
H  0.1107  0.8336  0.0106
H  0.1265  0.2580  0.8442
H  0.1265  0.7420  0.3442
H  0.1266  0.4406  0.9385
H  0.1266  0.5594  0.4385
H  0.1744  0.4203  0.2506
H  0.1744  0.5797  0.7506
H  0.3256  0.0797  0.7506
H  0.3256  0.9203  0.2506
H  0.3734  0.0594  0.4385
H  0.3734  0.9406  0.9385
H  0.3735  0.2420  0.3442
H  0.3735  0.7580  0.8442
H  0.3893  0.3336  0.0106
H  0.3893  0.6664  0.5106
H  0.4380  0.4966  0.8696
H  0.4380  0.5034  0.3696
H  0.4462  0.1973  0.6282
H  0.4462  0.8027  0.1282
H  0.5538  0.1973  0.8718
H  0.5538  0.8027  0.3718
H  0.5620  0.4966  0.6304
H  0.5620  0.5034  0.1304
H  0.6107  0.3336  0.4894
H  0.6107  0.6664  0.9894
H  0.6265  0.2420  0.1558
H  0.6265  0.7580  0.6558
H  0.6266  0.0594  0.0615
H  0.6266  0.9406  0.5615
H  0.6744  0.0797  0.7494
H  0.6744  0.9203  0.2494
H  0.8256  0.4203  0.2494
H  0.8256  0.5797  0.7494
H  0.8734  0.4406  0.5615
H  0.8734  0.5594  0.0615
H  0.8735  0.2580  0.6558
H  0.8735  0.7420  0.1558
H  0.8893  0.1664  0.9894
H  0.8893  0.8336  0.4894
H  0.9380  0.0034  0.1304
H  0.9380  0.9966  0.6304
H  0.9462  0.3027  0.3718
H  0.9462  0.6973  0.8718
S  0.2352  0.3763  0.5978
S  0.2352  0.6237  0.0978
S  0.2648  0.1237  0.0978
S  0.2648  0.8763  0.5978
S  0.7352  0.1237  0.4022
S  0.7352  0.8763  0.9022
S  0.7648  0.3763  0.9022
S  0.7648  0.6237  0.4022

Output
Final energy in eV/atom: -5.73
Symmetry: Pbcn (60)

---

6.
Material: Sr2H2S
Method: DFT, meta-GGA SCAN
State: single point on PBEsol structure

Lattice parameters (Å, degrees): 6.8519 6.8519 6.8519 147.81 147.81 46.17
Fractional positions:
Sr  0.1337  0.1337  0.0000
Sr  0.8663  0.8663  0.0000
H  0.2500  0.7500  0.5000
H  0.7500  0.2500  0.5000
S  0.5000  0.5000  0.0000

Output
Final energy in eV/atom: -13.51
Symmetry: I4/mmm (139)

---

7.
Material: TaHS3
Method: DFT, meta-GGA SCAN
State: single point on PBEsol structure

Lattice parameters (Å, degrees): 3.9762 3.9762 3.9762 90.00 90.00 90.00
Fractional positions:
Ta  0.0000  0.0000  0.0000
H  0.5000  0.5000  0.5000
S  0.0000  0.5000  0.5000
S  0.5000  0.0000  0.5000
S  0.5000  0.5000  0.0000

Output
Final energy in eV/atom: -18.87
Symmetry: Pm-3m (221)

---

8.
Material: Te2H2S
Method: DFT, meta-GGA SCAN
State: single point on PBEsol structure

Lattice parameters (Å, degrees): 6.8621 6.8621 3.5192 90.00 90.00 90.00
Fractional positions:
Te  0.1956  0.3044  0.0000
Te  0.3044  0.8044  0.0000
Te  0.6956  0.1956  0.0000
Te  0.8044  0.6956  0.0000
H  0.1073  0.3927  0.5000
H  0.3927  0.8927  0.5000
H  0.6073  0.1073  0.5000
H  0.8927  0.6073  0.5000
S  0.0000  0.0000  0.5000
S  0.5000  0.5000  0.5000

Output
Final energy in eV/atom: -17.62
Symmetry: P4/mbm (127)

---

9.
Material: Ti3HS
Method: DFT, meta-GGA SCAN
State: single point on PBEsol structure

Lattice parameters (Å, degrees): 3.8671 3.8671 3.8671 90.00 90.00 90.00
Fractional positions:
Ti  0.0000  0.0000  0.5000
Ti  0.0000  0.5000  0.0000
Ti  0.5000  0.0000  0.0000
H  0.0000  0.0000  0.0000
S  0.5000  0.5000  0.5000

Output
Final energy in eV/atom: -12.71
Symmetry: Pm-3m (221)

---

10.
Material: TiHS2
Method: DFT, meta-GGA SCAN
State: single point on PBEsol structure

Lattice parameters (Å, degrees): 6.3908 6.3908 6.3908 30.72 30.72 30.72
Fractional positions:
Ti  0.0000  0.0000  0.0000
H  0.5000  0.5000  0.5000
S  0.4112  0.4112  0.4112
S  0.5888  0.5888  0.5888

Output
Final energy in eV/atom: -10.66
Symmetry: R-3m (166)

---

11.
Material: TlHS2
Method: DFT, meta-GGA SCAN
State: single point on PBEsol structure

Lattice parameters (Å, degrees): 6.4943 6.4943 6.4943 35.72 35.72 35.72
Fractional positions:
Tl  0.0000  0.0000  0.0000
H  0.5000  0.5000  0.5000
S  0.4104  0.4104  0.4104
S  0.5896  0.5896  0.5896

Output
Final energy in eV/atom: -23.76
Symmetry: R-3m (166)

---

12.
Material: YHWS2
Method: DFT, meta-GGA SCAN
State: single point on PBEsol structure

Lattice parameters (Å, degrees): 4.5190 4.5190 3.3672 90.00 90.00 90.00
Fractional positions:
Y  0.0000  0.0000  0.0000
H  0.5000  0.5000  0.5000
W  0.5000  0.5000  0.0000
S  0.0000  0.5000  0.5000
S  0.5000  0.0000  0.5000

Output
Final energy in eV/atom: -24.34
Symmetry: P4/mmm (123)

---

13.
Material: Y2HS
Method: DFT, meta-GGA SCAN
State: single point on PBEsol structure

Lattice parameters (Å, degrees): 4.5771 4.5771 4.5771 60.00 60.00 60.00
Fractional positions:
Y  0.2500  0.2500  0.2500
Y  0.7500  0.7500  0.7500
H  0.0000  0.0000  0.0000
S  0.5000  0.5000  0.5000

Output
Final energy in eV/atom: -18.00
Symmetry: Fm-3m (225)

---

14.
Material: ZnHS2
Method: DFT, meta-GGA SCAN
State: single point on PBEsol structure

Lattice parameters (Å, degrees): 6.1941 6.1941 6.1941 33.52 33.52 33.52
Fractional positions:
Zn  0.0000  0.0000  0.0000
H  0.5000  0.5000  0.5000
S  0.4074  0.4074  0.4074
S  0.5926  0.5926  0.5926

Output
Final energy in eV/atom: -9.15
Symmetry: R-3m (166)

---

15.
Material: ZnH3S
Method: DFT, meta-GGA SCAN
State: single point on PBEsol structure

Lattice parameters (Å, degrees): 3.5726 3.5726 3.5726 90.00 90.00 90.00
Fractional positions:
Zn  0.0000  0.0000  0.0000
H  0.0000  0.5000  0.5000
H  0.5000  0.0000  0.5000
H  0.5000  0.5000  0.0000
S  0.5000  0.5000  0.5000

Output
Final energy in eV/atom: -5.95
Symmetry: Pm-3m (221)

---

16.
Material: Zn3HS
Method: DFT, meta-GGA SCAN
State: single point on PBEsol structure

Lattice parameters (Å, degrees): 4.0524 4.0524 4.0524 90.00 90.00 90.00
Fractional positions:
Zn  0.0000  0.0000  0.5000
Zn  0.0000  0.5000  0.0000
Zn  0.5000  0.0000  0.0000
H  0.0000  0.0000  0.0000
S  0.5000  0.5000  0.5000

Output
Final energy in eV/atom: -10.33
Symmetry: Pm-3m (221)

---

17.
Material: ZrH3S
Method: DFT, meta-GGA SCAN
State: single point on PBEsol structure

Lattice parameters (Å, degrees): 3.7211 3.7211 3.7211 90.00 90.00 90.00
Fractional positions:
Zr  0.0000  0.0000  0.0000
H  0.0000  0.0000  0.5000
H  0.0000  0.5000  0.0000
H  0.5000  0.0000  0.0000
S  0.5000  0.5000  0.5000

Output
Final energy in eV/atom: -10.08
Symmetry: Pm-3m (221)

---

18.
Material: ZrH2S
Method: DFT, meta-GGA SCAN
State: single point on PBEsol structure

Lattice parameters (Å, degrees): 3.8276 3.8276 3.8276 60.00 60.00 60.00
Fractional positions:
Zr  0.0000  0.0000  0.0000
H  0.2500  0.2500  0.2500
H  0.7500  0.7500  0.7500
S  0.5000  0.5000  0.5000

Output
Final energy in eV/atom: -11.93
Symmetry: Fm-3m (225)

---

19.
Material: Sc2SbH2
Method: DFT, meta-GGA SCAN
State: single point on PBEsol structure

Lattice parameters (Å, degrees): 5.5464 5.5464 5.5464 140.75 140.75 56.71
Fractional positions:
Sc  0.1585  0.1585  0.0000
Sc  0.8415  0.8415  0.0000
Sb  0.5000  0.5000  0.0000
H  0.2500  0.7500  0.5000
H  0.7500  0.2500  0.5000

Output
Final energy in eV/atom: -15.31
Symmetry: I4/mmm (139)

---

20.
Material: ScSiSbH2
Method: DFT, meta-GGA SCAN
State: single point on PBEsol structure

Lattice parameters (Å, degrees): 3.8817 3.8817 5.6622 90.00 90.00 90.00
Fractional positions:
Sc  0.0000  0.0000  0.0000
Si  0.5000  0.5000  0.5000
Sb  0.5000  0.5000  0.0000
H  0.0000  0.5000  0.5000
H  0.5000  0.0000  0.5000

Output
Final energy in eV/atom: -13.44
Symmetry: P4/mmm (123)

---

21.
Material: SbHSe2
Method: DFT, meta-GGA SCAN
State: single point on PBEsol structure

Lattice parameters (Å, degrees): 7.0386 7.0386 7.0386 34.39 34.39 34.39
Fractional positions:
Sb  0.0000  0.0000  0.0000
H  0.5000  0.5000  0.5000
Se  0.4122  0.4122  0.4122
Se  0.5878  0.5878  0.5878

Output
Final energy in eV/atom: -20.23
Symmetry: R-3m (166)

---

22.
Material: SbH3Se
Method: DFT, meta-GGA SCAN
State: single point on PBEsol structure

Lattice parameters (Å, degrees): 3.9034 3.9034 3.9034 90.00 90.00 90.00
Fractional positions:
Sb  0.0000  0.0000  0.0000
H  0.0000  0.0000  0.5000
H  0.0000  0.5000  0.0000
H  0.5000  0.0000  0.0000
Se  0.5000  0.5000  0.5000

Output
Final energy in eV/atom: -12.81
Symmetry: Pm-3m (221)

---

23.
Material: Sb2H2Se
Method: DFT, meta-GGA SCAN
State: single point on PBEsol structure

Lattice parameters (Å, degrees): 6.2902 6.2902 6.2902 145.44 145.44 49.68
Fractional positions:
Sb  0.1375  0.1375  0.0000
Sb  0.8625  0.8625  0.0000
H  0.2500  0.7500  0.5000
H  0.7500  0.2500  0.5000
Se  0.5000  0.5000  0.0000

Output
Final energy in eV/atom: -19.81
Symmetry: I4/mmm (139)

---

24.
Material: SiSb2TeH
Method: DFT, meta-GGA SCAN
State: single point on PBEsol structure

Lattice parameters (Å, degrees): 5.1570 5.1570 5.2713 90.00 90.00 90.00
Fractional positions:
Si  0.0000  0.0000  0.0000
Sb  0.0000  0.5000  0.0000
Sb  0.5000  0.0000  0.0000
Te  0.0000  0.0000  0.5000
H  0.5000  0.5000  0.5000

Output
Final energy in eV/atom: -23.98
Symmetry: P4/mmm (123)